No. 1
# ZnRuF3 GGA-PBEsol relaxed
data_ZnRuF3
_cell_length_a 4.108
_cell_length_b 4.108
_cell_length_c 4.108
_cell_angle_alpha 90.00
_cell_angle_beta 90.00
_cell_angle_gamma 90.00
_symmetry_space_group_name_H-M 'P m -3 m'
_symmetry_Int_Tables_number 221
_symmetry_space_group_name_Hall '-P 4 2 3'
loop_
_atom_site_label
_atom_site_fract_x
_atom_site_fract_y
_atom_site_fract_z
Zn1 0.000 0.000 0.000
Ru1 0.500 0.500 0.500
F1 0.000 0.500 0.500
# Calculated volume = 13.87 Å³/atom
# Total DFT energy (no corrections) = -21.5 eV per cell
# E_form (uncorrected) = -77 kJ/mol of atoms


No. 2
# AlAg3 GGA-PBEsol relaxed
data_AlAg3
_cell_length_a 5.708
_cell_length_b 2.912
_cell_length_c 8.285
_cell_angle_alpha 90.00
_cell_angle_beta 109.29
_cell_angle_gamma 90.00
_symmetry_space_group_name_H-M 'P 1 21/m 1'
_symmetry_Int_Tables_number 11
loop_
_symmetry_equiv_pos_as_xyz
'x,y,z'
'-x,-y,-z'
'-x,y+1/2,-z'
'x,-y+1/2,z'
loop_
_atom_site_label
_atom_site_fract_x
_atom_site_fract_y
_atom_site_fract_z
Al1 0.195 0.250 0.131
Ag1 0.068 0.750 0.374
Ag2 0.298 0.750 0.888
Ag3 0.442 0.250 0.636
# Calculated volume = 16.25 Å³/atom
# Total DFT energy (no corrections) = -28.6 eV per cell
# Energy of formation = -73.0 meV per atom


No. 3
# BeAs2Se GGA-PBEsol relaxed
data_BeAs2Se
_cell_length_a 6.432
_cell_length_b 6.432
_cell_length_c 6.432
_cell_angle_alpha 90.00
_cell_angle_beta 90.00
_cell_angle_gamma 90.00
_symmetry_space_group_name_H-M 'F -4 3 m'
_symmetry_Int_Tables_number 216
_symmetry_space_group_name_Hall 'F -4 2 3'
loop_
_atom_site_label
_atom_site_fract_x
_atom_site_fract_y
_atom_site_fract_z
Be1 0.000 0.000 0.000
As1 0.000 0.000 0.500
As2 0.250 0.250 0.250
Se1 0.250 0.250 0.750
# Excess energy over the best structure of this formula in the dataset = 732.9 meV/atom
# Calculated volume = 16.63 Å³/atom
# Total DFT energy (no corrections) = -64.0 eV per cell
# E_form (uncorrected) = 50 kJ/mol of atoms


No. 4
# ZnH2SeO4 GGA-PBEsol relaxed
data_ZnH2SeO4
_cell_length_a 4.764
_cell_length_b 12.893
_cell_length_c 7.177
_cell_angle_alpha 90.00
_cell_angle_beta 128.05
_cell_angle_gamma 90.00
_symmetry_space_group_name_H-M 'P 1 21/c 1'
_symmetry_Int_Tables_number 14
loop_
_symmetry_equiv_pos_as_xyz
'x,y,z'
'-x,-y,-z'
'-x,y+1/2,-z+1/2'
'x,-y+1/2,z+1/2'
loop_
_atom_site_label
_atom_site_fract_x
_atom_site_fract_y
_atom_site_fract_z
Zn1 0.204 0.230 0.373
H1 0.264 0.612 0.951
H2 0.418 0.630 0.220
Se1 0.374 0.597 0.619
O1 0.040 0.628 0.632
O2 0.274 0.177 0.664
O3 0.284 0.670 0.382
O4 0.487 0.612 0.117
# Calculated volume = 10.85 Å³/atom
# Total DFT energy (no corrections) = -166.2 eV per cell


No. 5
# LaRe2P GGA-PBEsol relaxed
data_LaRe2P
_cell_length_a 4.2460
_cell_length_b 4.2460
_cell_length_c 16.2905
_cell_angle_alpha 90.00
_cell_angle_beta 90.00
_cell_angle_gamma 120.00
_symmetry_space_group_name_H-M 'R -3 m'
_symmetry_Int_Tables_number 166
_symmetry_space_group_name_Hall '-R 3 2"'
loop_
_atom_site_label
_atom_site_fract_x
_atom_site_fract_y
_atom_site_fract_z
La1 0.0000 0.0000 0.0000
Re1 0.0000 0.0000 0.1865
P1 0.0000 0.0000 0.5000
# Calculated volume = 21.20 Å³/atom
# Total DFT energy (no corrections) = -113.6 eV per cell
# Energy of formation = -13.8 meV per atom


No. 6
# KLi2Hg GGA-PBEsol relaxed
data_KLi2Hg
_cell_length_a 3.419
_cell_length_b 5.920
_cell_length_c 10.999
_cell_angle_alpha 90.00
_cell_angle_beta 90.00
_cell_angle_gamma 90.00
_symmetry_space_group_name_H-M 'I m m m'
_symmetry_Int_Tables_number 71
_symmetry_space_group_name_Hall '-I 2 2'
loop_
_atom_site_label
_atom_site_fract_x
_atom_site_fract_y
_atom_site_fract_z
K1 0.000 0.000 0.000
Li1 0.000 0.500 0.202
Hg1 0.000 0.000 0.500
# Calculated volume = 27.83 Å³/atom
# Total DFT energy (no corrections) = -11.9 eV per cell
# Energy of formation = -84.0 meV per atom


No. 7
# LiMgMn3 GGA-PBEsol relaxed
data_LiMgMn3
_cell_length_a 4.777
_cell_length_b 4.777
_cell_length_c 4.777
_cell_angle_alpha 90.00
_cell_angle_beta 90.00
_cell_angle_gamma 90.00
_symmetry_space_group_name_H-M 'P m -3 m'
_symmetry_Int_Tables_number 221
_symmetry_space_group_name_Hall '-P 4 2 3'
loop_
_atom_site_label
_atom_site_fract_x
_atom_site_fract_y
_atom_site_fract_z
Li1 0.000 0.000 0.000
Mg1 0.500 0.500 0.500
Mn1 0.000 0.500 0.500
# Calculated volume = 21.81 Å³/atom
# Total DFT energy (no corrections) = -25.2 eV per cell
# Energy of formation = 1553.0 meV per atom


No. 8
# BiAu2F GGA-PBEsol relaxed
data_BiAu2F
_cell_length_a 6.656
_cell_length_b 6.656
_cell_length_c 6.656
_cell_angle_alpha 90.00
_cell_angle_beta 90.00
_cell_angle_gamma 90.00
_symmetry_space_group_name_H-M 'F m -3 m'
_symmetry_Int_Tables_number 225
_symmetry_space_group_name_Hall '-F 4 2 3'
loop_
_atom_site_label
_atom_site_fract_x
_atom_site_fract_y
_atom_site_fract_z
Bi1 0.000 0.000 0.000
Au1 0.250 0.250 0.250
F1 0.000 0.000 0.500
# Calculated volume = 18.43 Å³/atom
# Total DFT energy (no corrections) = -60.0 eV per cell
# E_form (uncorrected) = -23 kJ/mol of atoms